## KAl2Au (PBE)

Data for crystalline KAl2Au at its relaxed geometry.

Properties
DFT formation energy: 0.20 eV per atom
electronic total energy: -2.7645 eV/atom
SG: Fm-3m, No. 225

Cell: 4.861 4.861 4.861 Å, 60.00 60.00 60.00°
Sites, in units of the cell vectors:
K  0.000  0.000  0.000
Au  0.500  0.500  0.500
Al  0.250  0.250  0.250
Al  0.750  0.750  0.750